[1]
Compound: Li2ZrSi
Source: the Alexandria database
Functional: PBE-GGA
Structure: relaxed

## Properties
* E_form (uncorrected): 0.3 eV per formula unit
* size of the total moment: 0.000 μB per formula unit

Unit cell a=3.8511 b=3.8959 c=9.3577 alpha=90.00 beta=90.00 gamma=90.00
Last column: nearest neighbours and their distance in Å.
Space group Cmmm (No. 65)
Unique sites:
Li 0.0000 0.0000 0.2107  4 Li 2.74, 4 Si 2.76-2.77
Zr 0.0000 0.5000 0.5000  4 Zr 2.74
Si 0.0000 0.5000 0.0000  4 Si 2.74, 8 Li 2.76-2.77



[2]
Compound: LiZr2Si
Source: the Alexandria database
Functional: PBE-GGA
Structure: relaxed

## Properties
* E_form (uncorrected): -1.2 eV per formula unit
* size of the total moment: 0.000 μB per formula unit

Unit cell a=3.6412 b=3.9259 c=5.4458 alpha=90.00 beta=109.45 gamma=90.00
Last column: nearest neighbours and their distance in Å.
Space group Pm (No. 6)
Unique sites:
Li 0.0000 0.0000 0.0000  2 Si 2.44
Zr 0.4156 0.5000 0.8320  4 Li 2.81, 3 Si 2.83-2.94
Zr 0.7183 0.0000 0.4381  4 Si 2.80, 3 Li 2.89
Si 0.1402 0.5000 0.2810  2 Li 2.44



> Among the records above, which one has the lowest E_form (uncorrected)?

LiZr2Si



> Which formula does entry 2 have?

LiZr2Si